No. 1
Ta3Pt PBE optimized geometry; crystal system = monoclinic; raw total energy = -42.6 eV per cell; N(E_F) = 4.21 states/eV/f.u.
1.0
-0.644 -2.511 1.078
4.493 -1.260 -0.250
0.585 1.047 5.247
Pt Ta
1 3
direct
0.000 0.000 0.000
0.252 0.500 0.256
0.748 0.500 0.744
0.500 0.000 0.500

=====

No. 2
Ta2Pt PBE optimized geometry; crystal system = hexagonal; raw total energy = -91.6 eV per cell; N(E_F) = 2.88 states/eV/f.u.
1.0
3.576 -6.193 0.000
3.576 6.193 0.000
0.000 0.000 3.665
Ta Pt
6 3
direct
0.265 0.000 0.000
0.599 0.000 0.500
0.000 0.265 0.000
0.735 0.735 0.000
0.000 0.599 0.500
0.401 0.401 0.500
0.000 0.000 0.500
0.333 0.667 0.000
0.667 0.333 0.000

=====

No. 3
Ta3Pt5 PBE optimized geometry; crystal system = tetragonal; raw total energy = -71.2 eV per cell; N(E_F) = 6.76 states/eV/f.u.
1.0
-1.300 3.129 -0.502
-2.490 -1.344 -1.931
-6.509 -1.223 9.246
Pt Ta
5 3
direct
0.500 0.500 0.621
0.500 0.500 0.379
0.000 0.000 0.755
0.000 0.000 0.000
0.000 0.000 0.245
0.500 0.500 0.864
0.000 0.000 0.500
0.500 0.500 0.136

=====

No. 4
Ta2Pt PBE optimized geometry; crystal system = orthorhombic; raw total energy = -62.0 eV per cell; N(E_F) = 1.92 states/eV/f.u.
1.0
-1.540 3.500 1.596
-5.788 -1.546 3.186
1.959 -0.623 3.256
Pt Ta
2 4
direct
0.081 0.837 0.750
0.919 0.163 0.250
0.423 0.153 0.750
0.577 0.847 0.250
0.747 0.507 0.750
0.253 0.493 0.250

=====

How do the records compare in formation enthalpy at 0 K? In the order shown, they have -0.24, -0.26, -0.68, -0.41 eV per atom.
How do the records compare in volume? In the order shown, they have 17.38, 18.04, 16.68, 17.18 Å³/atom.